Entry 1:
The following is a GGA-PBE calculation of a relaxed LiDy2SeO5 crystal, from Alexandria.

V: 14.169 Å³/atom
energy relative to the elements, uncorrected: -2038.2 meV per atom
Fermi-level density of states: 0.21 states/eV/atom

Lattice parameters (Å, degrees): 7.564 7.564 7.564 128.93 128.93 75.13
Fractional positions:
Li (0.250, 0.250, 0.000)
Li (0.750, 0.750, 0.000)
Dy (0.175, 0.675, 0.850)
Dy (0.325, 0.175, 0.500)
Dy (0.675, 0.825, 0.500)
Dy (0.825, 0.325, 0.150)
Se (0.250, 0.750, 0.500)
Se (0.750, 0.250, 0.500)
O (0.000, 0.000, 0.000)
O (0.021, 0.244, 0.500)
O (0.244, 0.744, 0.224)
O (0.256, 0.479, 0.500)
O (0.479, 0.979, 0.224)
O (0.500, 0.500, 0.000)
O (0.521, 0.021, 0.776)
O (0.744, 0.521, 0.500)
O (0.756, 0.256, 0.776)
O (0.979, 0.756, 0.500)

***

Entry 2:
The following is a GGA-PBE calculation of a relaxed LiDy2SnO crystal, from Alexandria.

V: 19.532 Å³/atom
energy relative to the elements, uncorrected: -1546.5 meV per atom
Fermi-level density of states: 0.38 states/eV/atom

Lattice parameters (Å, degrees): 4.740 4.740 4.347 90.00 90.00 90.00
Fractional positions:
Li (0.000, 0.000, 0.000)
Dy (0.000, 0.500, 0.500)
Dy (0.500, 0.000, 0.500)
Sn (0.500, 0.500, 0.000)
O (0.000, 0.000, 0.500)

***

Entry 3:
The following is a GGA-PBE calculation of a relaxed SrLiDyO3 crystal, from Alexandria.

V: 13.927 Å³/atom
energy relative to the elements, uncorrected: -2824.0 meV per atom
Fermi-level density of states: 0.00 states/eV/atom

Lattice parameters (Å, degrees): 5.797 5.797 8.785 90.00 90.00 145.52
Fractional positions:
Sr (0.246, 0.754, 0.750)
Sr (0.754, 0.246, 0.250)
Li (0.025, 0.975, 0.250)
Li (0.975, 0.025, 0.750)
Dy (0.500, 0.500, 0.000)
Dy (0.500, 0.500, 0.500)
O (0.123, 0.877, 0.076)
O (0.123, 0.877, 0.424)
O (0.430, 0.570, 0.250)
O (0.570, 0.430, 0.750)
O (0.877, 0.123, 0.576)
O (0.877, 0.123, 0.924)

***

Entry 4:
The following is a GGA-PBE calculation of a relaxed LiDy2TaO6 crystal, from Alexandria.

V: 13.390 Å³/atom
energy relative to the elements, uncorrected: -3127.6 meV per atom
Fermi-level density of states: 0.00 states/eV/atom

Lattice parameters (Å, degrees): 5.932 5.932 5.932 56.00 56.00 56.00
Fractional positions:
Li (0.000, 0.000, 0.000)
Dy (0.256, 0.256, 0.256)
Dy (0.757, 0.757, 0.757)
Ta (0.464, 0.464, 0.464)
O (0.097, 0.658, 0.357)
O (0.201, 0.558, 0.816)
O (0.357, 0.097, 0.658)
O (0.558, 0.816, 0.201)
O (0.658, 0.357, 0.097)
O (0.816, 0.201, 0.558)

***

Number 1: size of the total moment 1.9 Bohr magnetons per cell. Number 2: size of the total moment 0.0 Bohr magnetons per cell. Number 3: size of the total moment 0.0 Bohr magnetons per cell. Number 4: size of the total moment 0.0 Bohr magnetons per cell.